# 1
## BaNa2Cd4 (PBE-GGA)

Data for a relaxed BaNa2Cd4 crystal.

Lattice parameters (Å, degrees): 6.4414 6.4414 5.9300 116.91 116.91 78.11
Fractional coordinates of all 7 atoms:
Ba 0.0000 0.0000 0.0000
Na 0.4983 0.4983 0.2482
Na 0.5017 0.5017 0.7518
Cd 0.9997 0.3730 0.6857
Cd 0.0003 0.6270 0.3143
Cd 0.3730 0.9997 0.6857
Cd 0.6270 0.0003 0.3143

## Properties
The symmetry is C2/m. For the energy, the calculation gives -1.386 eV per atom.

***

# 2
## CdHgTe (PBE-GGA)

Data for a relaxed CdHgTe crystal.

Lattice parameters (Å, degrees): 5.1356 5.1356 5.1356 60.00 60.00 60.00
Fractional coordinates of all 3 atoms:
Cd 0.0000 0.0000 0.0000
Hg 0.5000 0.5000 0.5000
Te 0.2500 0.2500 0.2500

## Properties
The symmetry is F-43m. The relative energy among the computed polymorphs comes out at 33 meV per atom.

***

# 3
## PmMgPb (PBE-GGA)

Data for a relaxed PmMgPb crystal.

Lattice parameters (Å, degrees): 5.0741 5.0741 5.0741 60.00 60.00 60.00
Fractional coordinates of all 3 atoms:
Pm 0.0000 0.0000 0.0000
Mg 0.5000 0.5000 0.5000
Pb 0.7500 0.7500 0.7500

## Properties
The symmetry is F-43m. The relative energy among the computed polymorphs comes out at 0 meV per atom. The spin magnetization comes out at 0.000 μB per atom.

***

# 4
## NaGeSbOs (PBE-GGA)

Data for a relaxed NaGeSbOs crystal.

Lattice parameters (Å, degrees): 4.7573 4.7573 4.7573 60.00 60.00 60.00
Fractional coordinates of all 4 atoms:
Na 0.0000 0.0000 0.0000
Ge 0.2500 0.2500 0.2500
Sb 0.5000 0.5000 0.5000
Os 0.7500 0.7500 0.7500

## Properties
The symmetry is F-43m. The relative energy among the computed polymorphs comes out at 438 meV per atom. The spin magnetization comes out at 0.001 μB per atom.

***

# 5
## RbHg2Te2 (PBE-GGA)

Data for a relaxed RbHg2Te2 crystal.

Lattice parameters (Å, degrees): 7.7898 7.7898 7.7898 142.06 142.06 54.75
Fractional coordinates of all 5 atoms:
Rb 0.0000 0.0000 0.0000
Hg 0.2500 0.7500 0.5000
Hg 0.7500 0.2500 0.5000
Te 0.3674 0.3674 0.0000
Te 0.6326 0.6326 0.0000

## Properties
The symmetry is I4/mmm. For the energy, the calculation gives -1.923 eV per atom.

***

# 6
## BaZn2Au2 (PBE-GGA)

Data for a relaxed BaZn2Au2 crystal.

Lattice parameters (Å, degrees): 8.6959 4.6861 11.5543 90.00 90.00 90.00
Fractional coordinates of all 20 atoms:
Ba 0.2396 0.2500 0.1675
Ba 0.2604 0.7500 0.6675
Ba 0.7396 0.2500 0.3325
Ba 0.7604 0.7500 0.8325
Zn 0.0989 0.2500 0.4557
Zn 0.1129 0.2500 0.8562
Zn 0.3871 0.7500 0.3562
Zn 0.4011 0.7500 0.9557
Zn 0.5989 0.2500 0.0443
Zn 0.6129 0.2500 0.6438
Zn 0.8871 0.7500 0.1438
Zn 0.9011 0.7500 0.5443
Au 0.0566 0.7500 0.3449
Au 0.0992 0.7500 0.9670
Au 0.4008 0.2500 0.4670
Au 0.4434 0.2500 0.8449
Au 0.5566 0.7500 0.1551
Au 0.5992 0.7500 0.5330
Au 0.9008 0.2500 0.0330
Au 0.9434 0.2500 0.6551

## Properties
The symmetry is Pnma. The relative energy among the computed polymorphs comes out at 13 meV per atom.

***

# 7
## LiRePbW (PBE-GGA)

Data for a relaxed LiRePbW crystal.

Lattice parameters (Å, degrees): 4.5242 4.5242 4.5242 60.00 60.00 60.00
Fractional coordinates of all 4 atoms:
Li 0.0000 0.0000 0.0000
Re 0.5000 0.5000 0.5000
Pb 0.2500 0.2500 0.2500
W 0.7500 0.7500 0.7500

## Properties
The symmetry is F-43m. The relative energy among the computed polymorphs comes out at 0 meV per atom. The spin magnetization comes out at 0.000 μB per atom.

***

# 8
## DyZn4Pt2 (PBE-GGA)

Data for a relaxed DyZn4Pt2 crystal.

Lattice parameters (Å, degrees): 7.4859 7.4859 4.2830 90.00 90.00 90.00
Fractional coordinates of all 14 atoms:
Dy 0.0000 0.0000 0.0000
Dy 0.5000 0.5000 0.5000
Zn 0.1004 0.3539 0.5000
Zn 0.1461 0.6004 0.0000
Zn 0.3539 0.1004 0.5000
Zn 0.3996 0.8539 0.0000
Zn 0.6004 0.1461 0.0000
Zn 0.6461 0.8996 0.5000
Zn 0.8539 0.3996 0.0000
Zn 0.8996 0.6461 0.5000
Pt 0.2130 0.7870 0.5000
Pt 0.2870 0.2870 0.0000
Pt 0.7130 0.7130 0.0000
Pt 0.7870 0.2130 0.5000

## Properties
The symmetry is P4_2/mnm. As for the energy of formation: -0.656 eV per atom. The spin magnetization comes out at 0.001 μB per atom.

***

# 9
## Gd10S19 (PBE-GGA)

Data for a relaxed Gd10S19 crystal.

Lattice parameters (Å, degrees): 8.7241 8.7241 15.8865 90.00 90.00 90.00
Fractional coordinates of all 58 atoms:
Gd 0.0411 0.3481 0.1216
Gd 0.0547 0.3545 0.6038
Gd 0.1455 0.0547 0.8962
Gd 0.1519 0.0411 0.3784
Gd 0.2500 0.7500 0.1154
Gd 0.2500 0.7500 0.6154
Gd 0.3481 0.4589 0.3784
Gd 0.3545 0.4453 0.8962
Gd 0.4453 0.1455 0.6038
Gd 0.4589 0.1519 0.1216
Gd 0.5411 0.8481 0.8784
Gd 0.5547 0.8545 0.3962
Gd 0.6455 0.5547 0.1038
Gd 0.6519 0.5411 0.6216
Gd 0.7500 0.2500 0.3846
Gd 0.7500 0.2500 0.8846
Gd 0.8481 0.9589 0.6216
Gd 0.8545 0.9453 0.1038
Gd 0.9453 0.6455 0.3962
Gd 0.9589 0.6519 0.8784
S 0.0300 0.8078 0.2493
S 0.0490 0.3479 0.4276
S 0.0532 0.3514 0.9379
S 0.0725 0.8864 0.7502
S 0.1136 0.5725 0.2502
S 0.1486 0.0532 0.5621
S 0.1521 0.0490 0.0724
S 0.1922 0.5300 0.7493
S 0.2500 0.2500 0.2500
S 0.2500 0.7500 0.4352
S 0.2500 0.7500 0.9352
S 0.3078 0.9700 0.7493
S 0.3479 0.4510 0.0724
S 0.3514 0.4468 0.5621
S 0.3864 0.9275 0.2502
S 0.4275 0.6136 0.7502
S 0.4468 0.1486 0.9379
S 0.4510 0.1521 0.4276
S 0.4700 0.6922 0.2493
S 0.5300 0.3078 0.7507
S 0.5490 0.8479 0.5724
S 0.5532 0.8514 0.0621
S 0.5725 0.3864 0.2498
S 0.6136 0.0725 0.7498
S 0.6486 0.5532 0.4379
S 0.6521 0.5490 0.9276
S 0.6922 0.0300 0.2507
S 0.7500 0.2500 0.0648
S 0.7500 0.2500 0.5648
S 0.7500 0.7500 0.7500
S 0.8078 0.4700 0.2507
S 0.8479 0.9510 0.9276
S 0.8514 0.9468 0.4379
S 0.8864 0.4275 0.7498
S 0.9275 0.1136 0.2498
S 0.9468 0.6486 0.0621
S 0.9510 0.6521 0.5724
S 0.9700 0.1922 0.7507

## Properties
The symmetry is P4_2/n. For the energy, the calculation gives -6.117 eV per atom. The spin magnetization comes out at 0.000 μB per atom.

***

# 10
## TlGaAg (PBE-GGA)

Data for a relaxed TlGaAg crystal.

Lattice parameters (Å, degrees): 4.7009 4.7009 4.7009 60.00 60.00 60.00
Fractional coordinates of all 3 atoms:
Tl 0.0000 0.0000 0.0000
Ga 0.5000 0.5000 0.5000
Ag 0.7500 0.7500 0.7500

## Properties
The symmetry is F-43m. The relative energy among the computed polymorphs comes out at 0 meV per atom.

***

# 11
## CsCuTe3Os (PBE-GGA)

Data for a relaxed CsCuTe3Os crystal.

Lattice parameters (Å, degrees): 8.8003 8.8003 10.3825 90.00 90.00 153.25
Fractional coordinates of all 12 atoms:
Cs 0.2397 0.7603 0.7500
Cs 0.7603 0.2397 0.2500
Cu 0.4679 0.5321 0.2500
Cu 0.5321 0.4679 0.7500
Te 0.0638 0.9362 0.2500
Te 0.3984 0.6016 0.0354
Te 0.3984 0.6016 0.4646
Te 0.6016 0.3984 0.5354
Te 0.6016 0.3984 0.9646
Te 0.9362 0.0638 0.7500
Os 0.0000 0.0000 0.0000
Os 0.0000 0.0000 0.5000

## Properties
The symmetry is Cmcm. For the energy, the calculation gives -4.338 eV per atom. The spin magnetization comes out at 0.004 μB per atom.